Compound: SrNiF2
Source: Alexandria via LeMat-Bulk
Functional: PBE with a Hubbard U
Structure: optimized geometry

Cell lengths 6.0771, 6.0771, 6.0771 Å; angles 90.00, 90.00, 90.00 degrees
Element x y z (fractional)
Sr  0.0000  0.0000  0.0000
Sr  0.0000  0.5000  0.5000
Sr  0.5000  0.0000  0.5000
Sr  0.5000  0.5000  0.0000
Ni  0.0000  0.0000  0.5000
Ni  0.0000  0.5000  0.0000
Ni  0.5000  0.0000  0.0000
Ni  0.5000  0.5000  0.5000
F  0.2500  0.2500  0.2500
F  0.2500  0.2500  0.7500
F  0.2500  0.7500  0.2500
F  0.2500  0.7500  0.7500
F  0.7500  0.2500  0.2500
F  0.7500  0.2500  0.7500
F  0.7500  0.7500  0.2500
F  0.7500  0.7500  0.7500

## Properties
For the calculated total energy, the calculation gives -14.14 eV per formula unit. As for the energy above the most stable polymorph in this dataset: 0.647 eV/atom.